CrAgHg2Pd | Alexandria via LeMat-Bulk | PBE | optimized geometry; final energy = -2.968 eV per atom; formation enthalpy at 0 K = 686 meV per atom; volume = 137 Å³/cell
1.0
-2.803 1.905 3.891
-2.475 -4.496 0.419
3.553 -1.642 3.363
Ag Cr Hg Pd
1 1 2 1
Direct
0.000 0.500 0.000
0.500 0.500 0.500
0.000 0.000 0.500
0.500 0.000 0.000
0.000 0.000 0.000